[1]
# LuHfIn2 (PBE, optimized geometry)
data_LuHfIn2
_cell_length_a 3.753
_cell_length_b 3.753
_cell_length_c 6.666
_cell_angle_alpha 90.00
_cell_angle_beta 90.00
_cell_angle_gamma 90.00
_space_group_name_H-M_alt 'P 4/m m m'
_space_group_IT_number 123
_space_group_name_Hall '-P 4 2'
loop_
_atom_site_label
_atom_site_type_symbol
_atom_site_fract_x
_atom_site_fract_y
_atom_site_fract_z
Lu1 Lu 0.000 0.000 0.000
Hf1 Hf 0.000 0.000 0.500
In1 In 0.500 0.500 0.263
# * energy relative to the elements: -165.8 meV/atom
# * distance to the lowest polymorph of the same formula: 44 meV/atom
# * size of the total moment: 0.00 μB/f.u.

=====

[2]
# Eu3CdCo (PBE, optimized geometry)
data_Eu3CdCo
_cell_length_a 5.409
_cell_length_b 5.409
_cell_length_c 5.409
_cell_angle_alpha 90.00
_cell_angle_beta 90.00
_cell_angle_gamma 90.00
_space_group_name_H-M_alt 'P m -3 m'
_space_group_IT_number 221
_space_group_name_Hall '-P 4 2 3'
loop_
_atom_site_label
_atom_site_type_symbol
_atom_site_fract_x
_atom_site_fract_y
_atom_site_fract_z
Eu1 Eu 0.000 0.000 0.500
Cd1 Cd 0.500 0.500 0.500
Co1 Co 0.000 0.000 0.000
# * energy relative to the elements: 6.1 meV/atom
# * size of the total moment: 21.06 μB/f.u.

=====

[3]
# LuMgHgIr (PBE, optimized geometry)
data_LuMgHgIr
_cell_length_a 6.785
_cell_length_b 6.785
_cell_length_c 6.785
_cell_angle_alpha 90.00
_cell_angle_beta 90.00
_cell_angle_gamma 90.00
_space_group_name_H-M_alt 'F -4 3 m'
_space_group_IT_number 216
_space_group_name_Hall 'F -4 2 3'
loop_
_atom_site_label
_atom_site_type_symbol
_atom_site_fract_x
_atom_site_fract_y
_atom_site_fract_z
Lu1 Lu 0.000 0.000 0.000
Mg1 Mg 0.000 0.000 0.500
Hg1 Hg 0.250 0.250 0.750
Ir1 Ir 0.250 0.250 0.250
# * energy relative to the elements: -451.2 meV/atom
# * size of the total moment: 0.00 μB/f.u.

=====

[4]
# Pm6Pr2Tl (PBE, optimized geometry)
data_Pm6Pr2Tl
_cell_length_a 6.500
_cell_length_b 8.817
_cell_length_c 11.679
_cell_angle_alpha 80.73
_cell_angle_beta 76.95
_cell_angle_gamma 69.89
_space_group_name_H-M_alt 'P -1'
_space_group_IT_number 2
_space_group_name_Hall '-P 1'
loop_
_atom_site_label
_atom_site_type_symbol
_atom_site_fract_x
_atom_site_fract_y
_atom_site_fract_z
Pm1 Pm 0.027 0.054 0.134
Pm2 Pm 0.183 0.253 0.324
Pm3 Pm 0.261 0.441 0.540
Pm4 Pm 0.274 0.908 0.560
Pm5 Pm 0.399 0.553 0.780
Pm6 Pm 0.452 0.124 0.751
Pr1 Pr 0.068 0.613 0.109
Pr2 Pr 0.476 0.219 0.033
Tl1 Tl 0.109 0.753 0.352
# * energy relative to the elements: -43.8 meV/atom
# * distance to the lowest polymorph of the same formula: 0 meV/atom
# * size of the total moment: 0.00 μB/f.u.

=====

[5]
# HfZr2S (PBE, optimized geometry)
data_HfZr2S
_cell_length_a 3.3687
_cell_length_b 3.3687
_cell_length_c 25.5747
_cell_angle_alpha 90.00
_cell_angle_beta 90.00
_cell_angle_gamma 120.00
_space_group_name_H-M_alt 'R 3 m'
_space_group_IT_number 160
_space_group_name_Hall 'R 3 -2"'
loop_
_atom_site_label
_atom_site_type_symbol
_atom_site_fract_x
_atom_site_fract_y
_atom_site_fract_z
Hf1 Hf 0.0000 0.0000 0.0000
Zr1 Zr 0.0000 0.0000 0.2361
Zr2 Zr 0.0000 0.0000 0.4294
S1 S 0.0000 0.0000 0.8319
# * raw total energy: -8.4887 eV per atom
# * size of the total moment: 0.00 μB/f.u.

=====

[6]
# Nd2Zn4AgGe3 (PBE, optimized geometry)
data_Nd2Zn4AgGe3
_cell_length_a 4.227
_cell_length_b 4.227
_cell_length_c 10.934
_cell_angle_alpha 90.00
_cell_angle_beta 90.00
_cell_angle_gamma 90.00
_space_group_name_H-M_alt 'P -4 m 2'
_space_group_IT_number 115
_space_group_name_Hall 'P -4 -2'
loop_
_atom_site_label
_atom_site_type_symbol
_atom_site_fract_x
_atom_site_fract_y
_atom_site_fract_z
Nd1 Nd 0.000 0.500 0.247
Zn1 Zn 0.000 0.000 0.000
Zn2 Zn 0.000 0.500 0.636
Zn3 Zn 0.500 0.500 0.000
Ag1 Ag 0.000 0.000 0.500
Ge1 Ge 0.000 0.500 0.861
Ge2 Ge 0.500 0.500 0.500
# * energy relative to the elements: -409.4 meV/atom
# * size of the total moment: 0.00 μB/f.u.

=====

[7]
# CsTlCdHg (PBE, optimized geometry)
data_CsTlCdHg
_cell_length_a 9.077
_cell_length_b 5.130
_cell_length_c 7.518
_cell_angle_alpha 90.00
_cell_angle_beta 113.22
_cell_angle_gamma 90.00
_space_group_name_H-M_alt 'C 1 m 1'
_space_group_IT_number 8
_space_group_name_Hall 'C -2y'
loop_
_atom_site_label
_atom_site_type_symbol
_atom_site_fract_x
_atom_site_fract_y
_atom_site_fract_z
Cs1 Cs 0.000 0.000 0.000
Tl1 Tl 0.303 0.500 0.406
Cd1 Cd 0.197 0.000 0.587
Hg1 Hg 0.026 0.500 0.577
# * energy relative to the elements: -93.5 meV/atom
# * distance to the lowest polymorph of the same formula: 0 meV/atom
# * size of the total moment: 0.00 μB/f.u.

=====

[8]
# AcHfBi2 (PBE, optimized geometry)
data_AcHfBi2
_cell_length_a 3.5315
_cell_length_b 3.5315
_cell_length_c 35.7935
_cell_angle_alpha 90.00
_cell_angle_beta 90.00
_cell_angle_gamma 120.00
_space_group_name_H-M_alt 'R -3 m'
_space_group_IT_number 166
_space_group_name_Hall '-R 3 2"'
loop_
_atom_site_label
_atom_site_type_symbol
_atom_site_fract_x
_atom_site_fract_y
_atom_site_fract_z
Ac1 Ac 0.0000 0.0000 0.0000
Hf1 Hf 0.0000 0.0000 0.5000
Bi1 Bi 0.0000 0.0000 0.4166
# * energy relative to the elements: 213.9 meV/atom
# * distance to the lowest polymorph of the same formula: 504 meV/atom
# * size of the total moment: 0.00 μB/f.u.

=====

[9]
# MgFe2Ni2 (PBE, optimized geometry)
data_MgFe2Ni2
_cell_length_a 7.012
_cell_length_b 7.012
_cell_length_c 2.649
_cell_angle_alpha 90.00
_cell_angle_beta 90.00
_cell_angle_gamma 90.00
_space_group_name_H-M_alt 'P 4/m b m'
_space_group_IT_number 127
_space_group_name_Hall '-P 4 2ab'
loop_
_atom_site_label
_atom_site_type_symbol
_atom_site_fract_x
_atom_site_fract_y
_atom_site_fract_z
Mg1 Mg 0.000 0.000 0.000
Fe1 Fe 0.165 0.335 0.500
Ni1 Ni 0.129 0.629 0.000
# * energy relative to the elements: 36.7 meV/atom
# * distance to the lowest polymorph of the same formula: 0 meV/atom
# * size of the total moment: 6.61 μB/f.u.

=====

[10]
# Rb2AcPrSe4 (PBE, optimized geometry)
data_Rb2AcPrSe4
_cell_length_a 7.819
_cell_length_b 4.510
_cell_length_c 8.451
_cell_angle_alpha 90.00
_cell_angle_beta 107.92
_cell_angle_gamma 90.00
_space_group_name_H-M_alt 'P 1 2/m 1'
_space_group_IT_number 10
_space_group_name_Hall '-P 2y'
loop_
_atom_site_label
_atom_site_type_symbol
_atom_site_fract_x
_atom_site_fract_y
_atom_site_fract_z
Rb1 Rb 0.000 0.000 0.000
Rb2 Rb 0.500 0.500 0.000
Ac1 Ac 0.000 0.500 0.500
Pr1 Pr 0.500 0.000 0.500
Se1 Se 0.244 0.000 0.706
Se2 Se 0.274 0.500 0.297
# * raw total energy: -4.8593 eV per atom
# * size of the total moment: 0.00 μB/f.u.

=====

[11]
# Cd2GaO3 (PBE, optimized geometry)
data_Cd2GaO3
_cell_length_a 10.991
_cell_length_b 6.388
_cell_length_c 5.894
_cell_angle_alpha 90.00
_cell_angle_beta 118.79
_cell_angle_gamma 90.00
_space_group_name_H-M_alt 'C 1 2/c 1'
_space_group_IT_number 15
_space_group_name_Hall '-C 2yc'
loop_
_atom_site_label
_atom_site_type_symbol
_atom_site_fract_x
_atom_site_fract_y
_atom_site_fract_z
Cd1 Cd 0.160 0.089 0.209
Ga1 Ga 0.000 0.428 0.750
O1 O 0.000 0.124 0.750
O2 O 0.128 0.442 0.155
# * raw total energy: -4.4632 eV per atom
# * size of the total moment: 0.00 μB/f.u.

=====

[12]
# SrMnIr2 (PBE, optimized geometry)
data_SrMnIr2
_cell_length_a 4.813
_cell_length_b 4.813
_cell_length_c 17.144
_cell_angle_alpha 90.00
_cell_angle_beta 90.00
_cell_angle_gamma 90.00
_space_group_name_H-M_alt 'I -4 2 d'
_space_group_IT_number 122
_space_group_name_Hall 'I -4 2bw'
loop_
_atom_site_label
_atom_site_type_symbol
_atom_site_fract_x
_atom_site_fract_y
_atom_site_fract_z
Sr1 Sr 0.000 0.000 0.000
Mn1 Mn 0.000 0.000 0.500
Ir1 Ir 0.069 0.250 0.625
# * energy relative to the elements: 304.8 meV/atom
# * distance to the lowest polymorph of the same formula: 379 meV/atom
# * size of the total moment: 4.20 μB/f.u.